DFT (PBE) results for a relaxed Tm3ZrSb4 crystal.

Results
Energy relative to the elements, uncorrected in meV per atom: -941

The structure in POSCAR format:
```
Tm3ZrSb4
1.0
7.4144 0.0000 0.0000
0.0000 8.5774 0.0000
-2.4712 0.0000 6.9645
Tm Zr Sb
6 2 8
Direct
0.0000 0.1249 0.2500 Tm
0.0000 0.3751 0.7500 Tm
0.0000 0.6249 0.2500 Tm
0.0000 0.8751 0.7500 Tm
0.5000 0.1253 0.7500 Tm
0.5000 0.8747 0.2500 Tm
0.5000 0.3771 0.2500 Zr
0.5000 0.6229 0.7500 Zr
0.2540 0.1293 0.0041 Sb
0.2540 0.8707 0.5041 Sb
0.2568 0.3782 0.4995 Sb
0.2568 0.6218 0.9995 Sb
0.7432 0.3782 0.0005 Sb
0.7432 0.6218 0.5005 Sb
0.7460 0.1293 0.4959 Sb
0.7460 0.8707 0.9959 Sb
```

***

DFT (PBE) results for a relaxed Li5CuAg2 crystal.

Results
E above lowest polymorph in eV per formula unit: 0.08

The structure in POSCAR format:
```
Li5CuAg2
1.0
4.5840 0.0000 0.0000
0.0000 4.5840 0.0000
0.0000 0.0000 11.9490
Li Cu Ag
10 2 4
Direct
0.0000 0.0000 0.0000 Li
0.0000 0.5000 0.1257 Li
0.0000 0.5000 0.3743 Li
0.0000 0.5000 0.6257 Li
0.0000 0.5000 0.8743 Li
0.5000 0.0000 0.1257 Li
0.5000 0.0000 0.3743 Li
0.5000 0.0000 0.6257 Li
0.5000 0.0000 0.8743 Li
0.5000 0.5000 0.5000 Li
0.0000 0.0000 0.5000 Cu
0.5000 0.5000 0.0000 Cu
0.0000 0.0000 0.2577 Ag
0.0000 0.0000 0.7423 Ag
0.5000 0.5000 0.2423 Ag
0.5000 0.5000 0.7577 Ag
```

***

DFT (PBE) results for a relaxed Hf2CrRh crystal.

Results
E_tot in eV per atom: -9.05

The structure in POSCAR format:
```
Hf2CrRh
1.0
7.2280 0.0000 0.0000
0.0000 7.2280 0.0000
0.0000 0.0000 5.8627
Hf Cr Rh
8 4 4
Direct
0.2291 0.2500 0.1250 Hf
0.2500 0.7291 0.3750 Hf
0.2500 0.7709 0.8750 Hf
0.2709 0.2500 0.6250 Hf
0.7291 0.7500 0.6250 Hf
0.7500 0.2291 0.8750 Hf
0.7500 0.2709 0.3750 Hf
0.7709 0.7500 0.1250 Hf
0.0000 0.0000 0.5000 Cr
0.0000 0.5000 0.7500 Cr
0.5000 0.0000 0.2500 Cr
0.5000 0.5000 0.0000 Cr
0.0000 0.0000 0.0000 Rh
0.0000 0.5000 0.2500 Rh
0.5000 0.0000 0.7500 Rh
0.5000 0.5000 0.5000 Rh
```

***

DFT (PBE) results for a relaxed Na4TmU3N8 crystal.

Results
Energy relative to the elements, uncorrected in meV per atom: -1091

The structure in POSCAR format:
```
Na4TmU3N8
1.0
3.4820 2.0103 5.6710
-3.4820 2.0103 5.6710
0.0000 -4.0207 5.6710
Na Tm U N
4 1 3 8
Direct
0.0000 0.0000 0.0000 Na
0.0000 0.5000 0.5000 Na
0.5000 0.0000 0.5000 Na
0.5000 0.5000 0.0000 Na
0.5000 0.5000 0.5000 Tm
0.0000 0.0000 0.5000 U
0.0000 0.5000 0.0000 U
0.5000 0.0000 0.0000 U
0.2067 0.7376 0.7376 N
0.2286 0.2286 0.2286 N
0.2624 0.2624 0.7933 N
0.2624 0.7933 0.2624 N
0.7376 0.2067 0.7376 N
0.7376 0.7376 0.2067 N
0.7714 0.7714 0.7714 N
0.7933 0.2624 0.2624 N
```

***

DFT (PBE) results for a relaxed Mg2CdCo crystal.

Results
E_tot in eV per atom: -2.66

The structure in POSCAR format:
```
Mg2CdCo
1.0
6.5008 0.0000 0.0000
0.0000 6.5008 0.0000
0.0000 0.0000 6.5008
Mg Cd Co
8 4 4
Direct
0.0000 0.0000 0.0000 Mg
0.0000 0.5000 0.5000 Mg
0.2500 0.2500 0.2500 Mg
0.2500 0.7500 0.7500 Mg
0.5000 0.0000 0.5000 Mg
0.5000 0.5000 0.0000 Mg
0.7500 0.2500 0.7500 Mg
0.7500 0.7500 0.2500 Mg
0.2500 0.2500 0.7500 Cd
0.2500 0.7500 0.2500 Cd
0.7500 0.2500 0.2500 Cd
0.7500 0.7500 0.7500 Cd
0.0000 0.0000 0.5000 Co
0.0000 0.5000 0.0000 Co
0.5000 0.0000 0.0000 Co
0.5000 0.5000 0.5000 Co
```

***

DFT (PBE) results for a relaxed Pu2MgGa3Ni4 crystal.

Results
E_tot in eV per atom: -6.55

The structure in POSCAR format:
```
Pu2MgGa3Ni4
1.0
3.9382 0.0000 0.0000
0.0000 3.9382 0.0000
0.0000 0.0000 10.9133
Pu Mg Ga Ni
2 1 3 4
Direct
0.0000 0.5000 0.2463 Pu
0.5000 0.0000 0.7537 Pu
0.0000 0.0000 0.5000 Mg
0.0000 0.5000 0.8746 Ga
0.5000 0.0000 0.1254 Ga
0.5000 0.5000 0.5000 Ga
0.0000 0.0000 0.0000 Ni
0.0000 0.5000 0.6523 Ni
0.5000 0.0000 0.3477 Ni
0.5000 0.5000 0.0000 Ni
```

***

DFT (PBE) results for a relaxed K2AcCl5 crystal.

Results
Energy relative to the elements, uncorrected in meV per atom: -2240

The structure in POSCAR format:
```
K2AcCl5
1.0
13.1018 0.0000 0.0000
0.0000 9.1546 0.0000
0.0000 0.0000 8.2741
K Ac Cl
8 4 20
Direct
0.1736 0.0023 0.0350 K
0.1736 0.4977 0.0350 K
0.3264 0.5023 0.5350 K
0.3264 0.9977 0.5350 K
0.6736 0.0023 0.4650 K
0.6736 0.4977 0.4650 K
0.8264 0.5023 0.9650 K
0.8264 0.9977 0.9650 K
0.0076 0.2500 0.5731 Ac
0.4924 0.7500 0.0731 Ac
0.5076 0.2500 0.9269 Ac
0.9924 0.7500 0.4269 Ac
0.0083 0.2500 0.9285 Cl
0.0867 0.5418 0.6602 Cl
0.0867 0.9582 0.6602 Cl
0.1810 0.2500 0.3577 Cl
0.2084 0.7500 0.3187 Cl
0.2916 0.2500 0.8187 Cl
0.3190 0.7500 0.8577 Cl
0.4133 0.0418 0.1602 Cl
0.4133 0.4582 0.1602 Cl
0.4917 0.7500 0.4285 Cl
0.5083 0.2500 0.5715 Cl
0.5867 0.5418 0.8398 Cl
0.5867 0.9582 0.8398 Cl
0.6810 0.2500 0.1423 Cl
0.7084 0.7500 0.1813 Cl
0.7916 0.2500 0.6813 Cl
0.8190 0.7500 0.6423 Cl
0.9133 0.0418 0.3398 Cl
0.9133 0.4582 0.3398 Cl
0.9917 0.7500 0.0715 Cl
```

***

DFT (PBE) results for a relaxed TaCoBr crystal.

Results
Energy relative to the elements, uncorrected in meV per atom: 160
E above lowest polymorph in eV per formula unit: 0.00

The structure in POSCAR format:
```
TaCoBr
1.0
3.3570 0.0000 0.0000
-1.6785 2.9073 0.0000
0.0000 0.0000 6.4204
Ta Co Br
1 1 1
Direct
0.0000 0.0000 0.0000 Ta
0.3333 0.6667 0.7862 Co
0.6667 0.3333 0.3127 Br
```